1.
A plane-wave DFT calculation with PBE-GGA was carried out for a geometry-optimized RbMg2GeRh structure.

a b c (Å): 5.1863 5.1863 4.7773
angles (deg): 90.00 90.00 90.00
Fractional positions:
Ge (0.0000, 0.0000, 0.5000)
Rh (0.0000, 0.0000, 0.0000)
Mg (0.0000, 0.5000, 0.0000)
Mg (0.5000, 0.0000, 0.0000)
Rb (0.5000, 0.5000, 0.5000)

Summary:
space-group type	No. 123
D(E_F)	2.3	states/eV/f.u.
energy of formation	-0.22	eV per atom

***

2.
A plane-wave DFT calculation with PBE-GGA was carried out for a geometry-optimized Cs3Ac3CrSe8 structure.

a b c (Å): 8.8452 8.8445 9.9956
angles (deg): 116.26 90.00 120.00
Last column: magnetic moment on the atom in μB.
Fractional positions:
Cs (0.0000, 0.0000, 0.0000)  0.00
Cs (0.0000, 0.5000, 0.0000)  0.00
Cs (0.5000, 0.5000, 0.0000)  0.00
Ac (0.5000, 0.0000, 0.5000)  0.00
Ac (0.5000, 0.5000, 0.5000)  0.00
Ac (0.0000, 0.5000, 0.5000)  0.00
Cr (0.0000, 0.0000, 0.5000)  2.70
Se (0.2664, 0.5328, 0.2985)  -0.01
Se (0.7336, 0.4672, 0.7015)  -0.01
Se (0.7995, 0.5989, 0.3266)  -0.10
Se (0.2005, 0.4011, 0.6734)  -0.10
Se (0.7985, 0.0255, 0.3254)  -0.10
Se (0.2015, 0.9745, 0.6746)  -0.10
Se (0.2270, 0.0255, 0.3254)  -0.10
Se (0.7730, 0.9745, 0.6746)  -0.10

Summary:
E_form (uncorrected)	-32.66	kcal/mol of atoms
space-group type	No. 12
D(E_F)	16.0	states/eV/f.u.